(1)
Entry from the Alexandria database: TaIr2 after structural relaxation (PBE).

```
6
Lattice="1.414 5.156 0.008 -1.414 5.156 0.008 0.000 1.853 6.471" Properties=species:S:1:pos:R:3 pbc="T T T"
Ta 0.000 7.655 2.234
Ta 0.000 4.510 4.254
Ir 0.000 1.700 4.445
Ir 0.000 8.377 6.248
Ir 0.000 3.788 0.240
Ir 0.000 10.466 2.042
```

## Properties
Formation enthalpy at 0 K   -449 meV per atom
Symmetry   C2/m
Magnetization   0.00 μB/atom

(2)
Entry from the Alexandria database: BaAcTe2 after structural relaxation (PBE).

```
4
Lattice="4.134 0.000 0.000 0.000 4.134 0.000 0.000 0.000 8.370" Properties=species:S:1:pos:R:3 pbc="T T T"
Ac 2.067 2.067 0.000
Te 0.000 0.000 6.394
Te 0.000 0.000 1.976
Ba 2.067 2.067 4.185
```

## Properties
Formation energy (no corrections)   -1495 meV/atom
Symmetry   P4/mmm
Magnetization   0.04 μB/atom

(3)
Entry from the Alexandria database: CdTeMo2 after structural relaxation (PBE).

```
4
Lattice="3.271 0.000 0.000 0.000 3.271 0.000 0.000 0.000 8.031" Properties=species:S:1:pos:R:3 pbc="T T T"
Cd 1.635 1.635 6.540
Mo 0.000 0.000 0.367
Mo 1.635 1.635 1.722
Te 0.000 0.000 3.418
```

## Properties
Formation energy (no corrections)   244 meV/atom
Symmetry   P4mm
Magnetization   0.00 μB/atom

(4)
Entry from the Alexandria database: Nb4FeSi3 after structural relaxation (PBE).

```
16
Lattice="4.654 0.000 1.648 2.327 7.029 0.824 -0.019 0.000 7.450" Properties=species:S:1:pos:R:3 pbc="T T T"
Nb 2.624 2.116 7.381
Nb 4.338 4.913 2.542
Nb 5.342 6.081 7.104
Nb 0.687 0.948 5.455
Nb 1.621 0.948 2.818
Nb 6.275 6.081 4.467
Nb 4.338 2.116 2.542
Nb 2.624 4.913 7.381
Si 3.491 0.000 1.236
Si 1.164 0.000 0.412
Si 3.481 5.633 4.961
Si 3.481 1.395 4.961
Si 1.861 3.514 2.140
Si 5.101 3.514 7.783
Fe 4.645 3.514 5.373
Fe 2.318 3.514 4.549
```

## Properties
Formation energy (no corrections)   -616 meV/atom
Symmetry   I4/mcm
Magnetization   0.27 μB/atom

(5)
Entry from the Alexandria database: AcTbPt2 after structural relaxation (PBE).

```
4
Lattice="-3.046 1.738 1.849 -0.482 -3.708 2.692 5.014 1.343 2.747" Properties=species:S:1:pos:R:3 pbc="T T T"
Ac 0.553 -0.504 3.347
Tb 2.693 2.551 3.996
Pt 3.674 -0.363 4.100
Pt -0.373 2.444 3.299
```

## Properties
Formation enthalpy at 0 K   -1167 meV per atom
Symmetry   Amm2
Magnetization   0.00 μB/atom

(6)
Entry from the Alexandria database: SmMgZn after structural relaxation (PBE).

```
3
Lattice="4.804 0.000 0.000 2.402 4.160 0.000 2.402 1.387 3.922" Properties=species:S:1:pos:R:3 pbc="T T T"
Zn 2.402 1.387 0.981
Mg 4.804 2.773 1.961
Sm 0.000 0.000 0.000
```

## Properties
Formation enthalpy at 0 K   -90 meV per atom
Symmetry   F-43m
Magnetization   0.16 μB/atom